VASP calculation (PBE+U) on a relaxed structure of BaCrFeO4.

Summary:
DFT total energy = -93.92 eV per cell

abc: 5.803 5.285 7.920
angles: 90.00 125.12 90.00
Positions (direct):
Ba: 0.590 0.750 0.899
Ba: 0.410 0.250 0.101
Cr: 0.822 0.750 0.466
Cr: 0.178 0.250 0.534
Fe: 0.236 0.750 0.346
Fe: 0.764 0.250 0.654
O: 0.077 0.489 0.678
O: 0.923 0.989 0.322
O: 0.923 0.511 0.322
O: 0.077 0.011 0.678
O: 0.434 0.750 0.204
O: 0.566 0.250 0.796
O: 0.637 0.750 0.598
O: 0.363 0.250 0.402